Run P
Entry from the Alexandria database: a geometry-optimized ZrCdBr2 structure (PBE).

a b c (Å): 5.3875 5.3875 3.4164
angles (deg): 90.00 90.00 104.95
Sites, in units of the cell vectors:
Br  0.0000  0.0000  0.0000
Br  0.5000  0.5000  0.0000
Zr  0.0000  0.5000  0.5000
Cd  0.5000  0.0000  0.5000

***

Run Q
Entry from the Alexandria database: a geometry-optimized ZrCdBr2 structure (PBE).

a b c (Å): 5.9538 5.9497 3.4223
angles (deg): 71.23 93.92 121.33
Sites, in units of the cell vectors:
Br  0.0000  0.0000  0.0000
Br  0.5000  0.0000  0.5000
Zr  0.5000  0.5000  0.0000
Cd  0.0000  0.5000  0.5000

***

Run R
Entry from the Alexandria database: a geometry-optimized ZrCdBr2 structure (PBE).

a b c (Å): 10.0345 10.0345 10.0345
angles (deg): 20.50 20.50 20.50
Sites, in units of the cell vectors:
Br  0.0214  0.0214  0.0214
Br  0.2294  0.2294  0.2294
Zr  0.7504  0.7504  0.7504
Cd  0.4988  0.4988  0.4988

***

run R comes first in stability; the runner-up is 428 meV per atom higher.

***

Run P
Entry from the Alexandria database: a geometry-optimized ZrCdBr2 structure (PBE).

a b c (Å): 4.5766 3.6004 6.5848
angles (deg): 76.61 90.00 90.00
Sites, in units of the cell vectors:
Br  0.0000  0.8572  0.9755
Br  0.0000  0.6428  0.5245
Zr  0.5000  0.7500  0.7500
Cd  0.5000  0.2500  0.2500

***

Run Q
Entry from the Alexandria database: a geometry-optimized ZrCdBr2 structure (PBE).

a b c (Å): 5.3031 5.3031 3.4699
angles (deg): 90.00 90.00 90.00
Sites, in units of the cell vectors:
Br  0.0000  0.0000  0.0000
Br  0.5000  0.5000  0.0000
Zr  0.0000  0.5000  0.5000
Cd  0.5000  0.0000  0.5000

***

run P comes first in stability; the runner-up is 314 meV per atom higher.

***

Run P
Entry from the Alexandria database: a geometry-optimized ZrCdBr2 structure (PBE).

a b c (Å): 5.4192 5.4192 5.4192
angles (deg): 129.45 129.45 74.29
Sites, in units of the cell vectors:
Br  0.0000  0.0000  0.0000
Br  0.5000  0.5000  0.0000
Zr  0.7500  0.2500  0.5000
Cd  0.2500  0.7500  0.5000

***

Run Q
Entry from the Alexandria database: a geometry-optimized ZrCdBr2 structure (PBE).

a b c (Å): 3.3379 3.3379 10.0705
angles (deg): 90.00 90.00 90.00
Sites, in units of the cell vectors:
Br  0.0000  0.0000  0.9151
Br  0.0000  0.0000  0.5849
Zr  0.5000  0.5000  0.7500
Cd  0.5000  0.5000  0.2500

***

run Q comes first in stability; the runner-up is 492 meV per atom higher.

***

Run P
Entry from the Alexandria database: a geometry-optimized ZrCdBr2 structure (PBE).

a b c (Å): 7.7393 7.7393 7.7393
angles (deg): 155.12 143.50 44.68
Sites, in units of the cell vectors:
Br  0.0811  0.0811  0.0000
Br  0.7641  0.2641  0.5000
Zr  0.2344  0.7344  0.5000
Cd  0.4204  0.4204  0.0000

***

Run Q
Entry from the Alexandria database: a geometry-optimized ZrCdBr2 structure (PBE).

a b c (Å): 9.4587 9.4587 7.3575
angles (deg): 50.00 50.00 90.00
Sites, in units of the cell vectors:
Br  0.4889  0.1250  0.2500
Br  0.2611  0.6250  0.2500
Br  0.3750  0.5111  0.7500
Br  0.8750  0.7389  0.7500
Zr  0.5000  0.5000  0.0000
Zr  0.2500  0.7500  0.5000
Cd  0.0000  0.0000  0.0000
Cd  0.7500  0.2500  0.5000

***

Run R
Entry from the Alexandria database: a geometry-optimized ZrCdBr2 structure (PBE).

a b c (Å): 5.1492 5.1492 5.1492
angles (deg): 60.00 60.00 60.00
Sites, in units of the cell vectors:
Br  0.2500  0.2500  0.2500
Br  0.7500  0.7500  0.7500
Zr  0.0000  0.0000  0.0000
Cd  0.5000  0.5000  0.5000

***

run P comes first in stability; the runner-up is 53 meV per atom higher.

***

Run P
Entry from the Alexandria database: a geometry-optimized ZrCdBr2 structure (PBE).

a b c (Å): 7.7034 7.7034 7.6387
angles (deg): 46.00 46.00 25.61
Sites, in units of the cell vectors:
Br  0.9057  0.9057  0.1086
Br  0.7495  0.7495  0.8308
Zr  0.2872  0.2872  0.0506
Cd  0.5576  0.5576  0.5099

***

Run Q
Entry from the Alexandria database: a geometry-optimized ZrCdBr2 structure (PBE).

a b c (Å): 11.5712 11.5712 11.5712
angles (deg): 17.20 17.20 17.20
Sites, in units of the cell vectors:
Br  0.8900  0.8900  0.8900
Br  0.1100  0.1100  0.1100
Zr  0.5000  0.5000  0.5000
Cd  0.0000  0.0000  0.0000

***

Run R
Entry from the Alexandria database: a geometry-optimized ZrCdBr2 structure (PBE).

a b c (Å): 6.2766 6.2766 6.2766
angles (deg): 141.24 141.24 55.98
Sites, in units of the cell vectors:
Br  0.0000  0.0000  0.0000
Br  0.7500  0.2500  0.5000
Zr  0.2500  0.7500  0.5000
Cd  0.5000  0.5000  0.0000

***

Run S
Entry from the Alexandria database: a geometry-optimized ZrCdBr2 structure (PBE).

a b c (Å): 3.6333 3.6333 11.3081
angles (deg): 90.00 90.00 124.83
Sites, in units of the cell vectors:
Br  0.0000  0.0000  0.9386
Br  0.0000  0.0000  0.5614
Zr  0.5000  0.5000  0.7500
Cd  0.5000  0.5000  0.2500

***

run Q comes first in stability; the runner-up is 107 meV per atom higher.

***

Run P
Entry from the Alexandria database: a geometry-optimized ZrCdBr2 structure (PBE).

a b c (Å): 3.4346 5.9241 4.7327
angles (deg): 90.00 90.00 90.00
Sites, in units of the cell vectors:
Br  0.0000  0.0000  0.0000
Br  0.5000  0.5000  0.0000
Zr  0.0000  0.5000  0.5000
Cd  0.5000  0.0000  0.5000

***

Run Q
Entry from the Alexandria database: a geometry-optimized ZrCdBr2 structure (PBE).

a b c (Å): 3.4758 3.4758 8.5372
angles (deg): 90.00 90.00 89.97
Sites, in units of the cell vectors:
Br  0.0000  0.0000  0.9292
Br  0.5000  0.5000  0.3164
Zr  0.5000  0.5000  0.7413
Cd  0.0000  0.0000  0.5131

***

Run R
Entry from the Alexandria database: a geometry-optimized ZrCdBr2 structure (PBE).

a b c (Å): 7.8615 7.8615 5.4103
angles (deg): 69.86 69.86 24.31
Sites, in units of the cell vectors:
Br  0.9023  0.9023  0.0972
Br  0.5977  0.5977  0.4028
Zr  0.2500  0.2500  0.2500
Cd  0.7500  0.7500  0.7500

***

run R comes first in stability; the runner-up is 143 meV per atom higher.